Record 1
Here is crystalline Pr7Er2In2 at its relaxed geometry from the Alexandria database. Energies are from PBE-GGA.

a b c (Å): 3.7084 10.7583 10.7583
angles (deg): 63.86 80.08 80.08
Element x y z (fractional)
Pr: 0.8214 0.0246 0.3326
Pr: 0.8505 0.4646 0.8344
Pr: 0.5000 0.0358 0.9642
Pr: 0.6044 0.4937 0.2975
Pr: 0.3956 0.7025 0.5063
Pr: 0.1786 0.6674 0.9754
Pr: 0.1495 0.1656 0.5354
Er: 0.7262 0.8568 0.6909
Er: 0.2738 0.3091 0.1432
In: 0.0000 0.7920 0.2080
In: 0.5000 0.3417 0.6583

Properties
ρ: 6.8 Mg/m³
calculated total energy: -0.162 Ha/atom
N(E_F): 13.3 states/eV/f.u.
magnetization: 0.0 Bohr magnetons per cell
energy of formation from the pure elements: -3.8 kJ/mol of atoms



Record 2
Here is crystalline Pr2ErIn2 at its relaxed geometry from the Alexandria database. Energies are from PBE-GGA.

a b c (Å): 4.5738 4.9509 13.1157
angles (deg): 90.00 100.01 90.00
Element x y z (fractional)
Pr: 0.0485 0.7500 0.0976
Pr: 0.9515 0.2500 0.9024
Pr: 0.2398 0.7500 0.4798
Pr: 0.7602 0.2500 0.5202
Er: 0.8573 0.7500 0.7133
Er: 0.1427 0.2500 0.2867
In: 0.6485 0.7500 0.2979
In: 0.3515 0.2500 0.7021
In: 0.4500 0.7500 0.8997
In: 0.5500 0.2500 0.1003

Properties
ρ: 7.7 Mg/m³
calculated total energy: -0.158 Ha/atom
N(E_F): 4.4 states/eV/f.u.
magnetization: 0.0 Bohr magnetons per cell
polymorph energy (0 for the lowest one): 0.0049 eV/atom
energy of formation from the pure elements: -35.9 kJ/mol of atoms



Record 3
Here is crystalline Pr3Er2In at its relaxed geometry from the Alexandria database. Energies are from PBE-GGA.

a b c (Å): 4.9327 5.0363 8.0438
angles (deg): 108.24 90.00 90.00
Element x y z (fractional)
Pr: 0.5000 0.1698 0.3395
Pr: 0.5000 0.5000 0.0000
Pr: 0.5000 0.8302 0.6605
Er: 0.0000 0.6630 0.3260
Er: 0.0000 0.3370 0.6740
In: 0.0000 0.0000 0.0000

Properties
ρ: 7.6 Mg/m³
calculated total energy: -0.166 Ha/atom
N(E_F): 7.7 states/eV/f.u.
magnetization: 0.0 Bohr magnetons per cell
polymorph energy (0 for the lowest one): 0.0000 eV/atom
energy of formation from the pure elements: -14.6 kJ/mol of atoms



Record 4
Here is crystalline PrEr12In6 at its relaxed geometry from the Alexandria database. Energies are from PBE-GGA.

a b c (Å): 8.7834 8.7834 8.7834
angles (deg): 103.43 103.43 103.43
Element x y z (fractional)
Pr: 0.0000 0.0000 0.0000
Er: 0.8764 0.1236 0.5000
Er: 0.8202 0.5541 0.5541
Er: 0.5541 0.5541 0.8202
Er: 0.4459 0.1798 0.4459
Er: 0.4459 0.4459 0.1798
Er: 0.1798 0.4459 0.4459
Er: 0.1236 0.5000 0.8764
Er: 0.5000 0.8764 0.1236
Er: 0.1236 0.8764 0.5000
Er: 0.8764 0.5000 0.1236
Er: 0.5000 0.1236 0.8764
Er: 0.5541 0.8202 0.5541
In: 0.7001 0.2420 0.2420
In: 0.2420 0.2420 0.7001
In: 0.2420 0.7001 0.2420
In: 0.7580 0.7580 0.2999
In: 0.2999 0.7580 0.7580
In: 0.7580 0.2999 0.7580

Properties
ρ: 7.7 Mg/m³
calculated total energy: -0.149 Ha/atom
N(E_F): 26.0 states/eV/f.u.
magnetization: 0.0 Bohr magnetons per cell
energy of formation from the pure elements: -4.9 kJ/mol of atoms



Record 5
Here is crystalline PrEr6In6 at its relaxed geometry from the Alexandria database. Energies are from PBE-GGA.

a b c (Å): 6.2220 6.2220 10.7265
angles (deg): 90.00 90.00 120.00
Element x y z (fractional)
Pr: 0.0000 0.0000 0.0000
Er: 0.0000 0.0000 0.6582
Er: 0.0000 0.0000 0.3418
Er: 0.3333 0.6667 0.0000
Er: 0.6667 0.3333 0.0000
Er: 0.3333 0.6667 0.5000
Er: 0.6667 0.3333 0.5000
In: 0.0000 0.5000 0.7545
In: 0.5000 0.0000 0.7545
In: 0.5000 0.5000 0.7545
In: 0.5000 0.0000 0.2455
In: 0.0000 0.5000 0.2455
In: 0.5000 0.5000 0.2455

Properties
ρ: 8.5 Mg/m³
calculated total energy: -0.149 Ha/atom
N(E_F): 14.0 states/eV/f.u.
magnetization: 0.0 Bohr magnetons per cell
energy of formation from the pure elements: -31.8 kJ/mol of atoms



Record 6
Here is crystalline Pr4ErIn4 at its relaxed geometry from the Alexandria database. Energies are from PBE-GGA.

a b c (Å): 7.3667 7.3667 10.7756
angles (deg): 90.00 90.00 90.00
Element x y z (fractional)
Pr: 0.2206 0.5000 0.9280
Pr: 0.7794 0.5000 0.9280
Pr: 0.5000 0.7794 0.0720
Pr: 0.5000 0.2206 0.0720
Pr: 0.0000 0.7206 0.4280
Pr: 0.0000 0.2794 0.4280
Pr: 0.2794 0.0000 0.5720
Pr: 0.7206 0.0000 0.5720
Er: 0.0000 0.0000 0.0000
Er: 0.5000 0.5000 0.5000
In: 0.5000 0.7434 0.7617
In: 0.5000 0.2566 0.7617
In: 0.7434 0.5000 0.2383
In: 0.2566 0.5000 0.2383
In: 0.2434 0.0000 0.2617
In: 0.7566 0.0000 0.2617
In: 0.0000 0.2434 0.7383
In: 0.0000 0.7566 0.7383

Properties
ρ: 6.8 Mg/m³
calculated total energy: -0.145 Ha/atom
N(E_F): 7.4 states/eV/f.u.
magnetization: 0.0 Bohr magnetons per cell
energy of formation from the pure elements: -10.0 kJ/mol of atoms



Record 7
Here is crystalline Pr3Er2In2 at its relaxed geometry from the Alexandria database. Energies are from PBE-GGA.

a b c (Å): 5.0173 3.5478 12.2999
angles (deg): 90.00 78.23 90.00
Element x y z (fractional)
Pr: 0.8566 0.0000 0.2868
Pr: 0.0000 0.0000 0.0000
Pr: 0.1434 0.0000 0.7132
Er: 0.7127 0.5000 0.5747
Er: 0.2873 0.5000 0.4253
In: 0.5718 0.5000 0.8564
In: 0.4282 0.5000 0.1436

Properties
ρ: 7.6 Mg/m³
calculated total energy: -0.158 Ha/atom
N(E_F): 8.6 states/eV/f.u.
magnetization: 0.0 Bohr magnetons per cell
polymorph energy (0 for the lowest one): 0.0000 eV/atom
energy of formation from the pure elements: -15.6 kJ/mol of atoms



Record 8
Here is crystalline Pr2Er5In at its relaxed geometry from the Alexandria database. Energies are from PBE-GGA.

a b c (Å): 5.2497 11.1349 11.3302
angles (deg): 90.00 90.00 103.63
Element x y z (fractional)
Pr: 0.8698 0.7395 0.4021
Pr: 0.8698 0.7395 0.0979
Pr: 0.1302 0.2605 0.5979
Pr: 0.1302 0.2605 0.9021
Er: 0.9710 0.9421 0.8782
Er: 0.9710 0.9421 0.6218
Er: 0.2711 0.5421 0.4158
Er: 0.2711 0.5421 0.0842
Er: 0.7224 0.4448 0.2500
Er: 0.2776 0.5552 0.7500
Er: 0.7289 0.4579 0.5842
Er: 0.7289 0.4579 0.9158
Er: 0.0290 0.0579 0.1218
Er: 0.0290 0.0579 0.3782
In: 0.8490 0.6980 0.7500
In: 0.1510 0.3020 0.2500

Properties
ρ: 6.4 Mg/m³
calculated total energy: -0.139 Ha/atom
N(E_F): 11.8 states/eV/f.u.
magnetization: 0.0 Bohr magnetons per cell
polymorph energy (0 for the lowest one): 0.7049 eV/atom
energy of formation from the pure elements: 58.7 kJ/mol of atoms



Record 9
Here is crystalline Pr5Er2In5 at its relaxed geometry from the Alexandria database. Energies are from PBE-GGA.

a b c (Å): 5.2927 6.4727 12.2726
angles (deg): 108.09 90.00 114.13
Element x y z (fractional)
Pr: 0.5000 0.0000 0.5000
Pr: 0.6568 0.3137 0.9985
Pr: 0.6382 0.2763 0.2725
Pr: 0.3618 0.7237 0.7275
Pr: 0.3432 0.6863 0.0015
Er: 0.0696 0.1393 0.7576
Er: 0.9304 0.8607 0.2424
In: 0.1725 0.3449 0.4590
In: 0.7224 0.4448 0.7656
In: 0.2776 0.5552 0.2344
In: 0.8275 0.6551 0.5410
In: 0.0000 0.0000 0.0000

Properties
ρ: 7.4 Mg/m³
calculated total energy: -0.154 Ha/atom
N(E_F): 12.6 states/eV/f.u.
magnetization: 0.0 Bohr magnetons per cell
energy of formation from the pure elements: -30.0 kJ/mol of atoms



Record 10
Here is crystalline Pr3Er2In2 at its relaxed geometry from the Alexandria database. Energies are from PBE-GGA.

a b c (Å): 3.5309 8.0557 8.7734
angles (deg): 117.72 101.61 90.00
Element x y z (fractional)
Pr: 0.0000 0.5000 0.0000
Pr: 0.2105 0.7833 0.4210
Pr: 0.7895 0.2167 0.5790
Er: 0.8738 0.7172 0.7476
Er: 0.1262 0.2828 0.2524
In: 0.5672 0.9022 0.1344
In: 0.4328 0.0978 0.8656

Properties
ρ: 7.6 Mg/m³
calculated total energy: -0.156 Ha/atom
N(E_F): 8.5 states/eV/f.u.
magnetization: 0.0 Bohr magnetons per cell
polymorph energy (0 for the lowest one): 0.0431 eV/atom
energy of formation from the pure elements: -11.5 kJ/mol of atoms



Record 11
Here is crystalline Pr5Er6In at its relaxed geometry from the Alexandria database. Energies are from PBE-GGA.

a b c (Å): 5.0439 9.4184 9.4184
angles (deg): 106.54 105.54 105.54
Element x y z (fractional)
Pr: 0.5000 0.1667 0.8333
Pr: 0.0000 0.3363 0.6637
Pr: 0.5000 0.5000 0.5000
Pr: 0.0000 0.6637 0.3363
Pr: 0.5000 0.8333 0.1667
In: 0.0000 0.0000 0.0000
Er: 0.2453 0.0813 0.4091
Er: 0.7547 0.5909 0.9187
Er: 0.7438 0.2437 0.2437
Er: 0.2562 0.7563 0.7563
Er: 0.2453 0.4091 0.0813
Er: 0.7547 0.9187 0.5909

Properties
ρ: 7.9 Mg/m³
calculated total energy: -0.167 Ha/atom
N(E_F): 15.8 states/eV/f.u.
magnetization: 0.0 Bohr magnetons per cell
energy of formation from the pure elements: -4.3 kJ/mol of atoms



Record 12
Here is crystalline PrEr2In4 at its relaxed geometry from the Alexandria database. Energies are from PBE-GGA.

a b c (Å): 4.6850 4.6850 9.9305
angles (deg): 103.64 103.64 90.00
Last column: magnetic moment on the atom in μB.
Element x y z (fractional)
Pr: 0.0000 0.0000 0.0000  -0.01
In: 0.3737 0.8737 0.7475  0.00
In: 0.8737 0.3737 0.7475  0.00
In: 0.6263 0.1263 0.2525  0.00
In: 0.1263 0.6263 0.2525  0.00
Er: 0.7516 0.7516 0.5031  0.15
Er: 0.2484 0.2484 0.4969  0.15

Properties
ρ: 7.6 Mg/m³
calculated total energy: -0.141 Ha/atom
N(E_F): 6.4 states/eV/f.u.
magnetization: 0.3 Bohr magnetons per cell
polymorph energy (0 for the lowest one): 0.0000 eV/atom
energy of formation from the pure elements: -27.0 kJ/mol of atoms



Record 13
Here is crystalline Pr5Er2In4 at its relaxed geometry from the Alexandria database. Energies are from PBE-GGA.

a b c (Å): 3.5506 10.6615 11.0330
angles (deg): 118.89 99.26 90.00
Element x y z (fractional)
Pr: 0.1857 0.5186 0.3714
Pr: 0.8143 0.4814 0.6286
Pr: 0.1857 0.8528 0.3714
Pr: 0.5000 0.0000 0.0000
Pr: 0.8143 0.1472 0.6286
Er: 0.8302 0.8302 0.6604
Er: 0.1698 0.1698 0.3396
In: 0.5746 0.5746 0.1493
In: 0.0000 0.2703 0.0000
In: 0.4254 0.4254 0.8507
In: 0.0000 0.7297 0.0000

Properties
ρ: 6.9 Mg/m³
calculated total energy: -0.147 Ha/atom
N(E_F): 13.1 states/eV/f.u.
magnetization: 0.0 Bohr magnetons per cell
energy of formation from the pure elements: -0.6 kJ/mol of atoms



Record 14
Here is crystalline Pr12Er7In at its relaxed geometry from the Alexandria database. Energies are from PBE-GGA.

a b c (Å): 10.1145 10.1145 10.1145
angles (deg): 109.47 109.47 109.47
Element x y z (fractional)
Pr: 0.5572 0.7787 0.7785
Pr: 0.0002 0.7787 0.2215
Pr: 0.4428 0.2213 0.2215
Pr: 0.9998 0.2213 0.7785
Pr: 0.7785 0.9998 0.2213
Pr: 0.7785 0.5572 0.7787
Pr: 0.2215 0.0002 0.7787
Pr: 0.2215 0.4428 0.2213
Pr: 0.7787 0.7785 0.5572
Pr: 0.2213 0.2215 0.4428
Pr: 0.7787 0.2215 0.0002
Pr: 0.2213 0.7785 0.9998
Er: 0.5000 0.5000 0.0000
Er: 0.0000 0.5000 0.5000
Er: 0.5000 0.0000 0.5000
Er: 0.5000 0.5000 0.5000
Er: 0.0000 0.0000 0.5000
Er: 0.5000 0.0000 0.0000
Er: 0.0000 0.5000 0.0000
In: 0.0000 0.0000 0.0000

Properties
ρ: 6.2 Mg/m³
calculated total energy: -0.145 Ha/atom
N(E_F): 38.9 states/eV/f.u.
magnetization: 0.0 Bohr magnetons per cell
polymorph energy (0 for the lowest one): 0.5762 eV/atom
energy of formation from the pure elements: 63.4 kJ/mol of atoms



Record 15
Here is crystalline Pr2Er3In2 at its relaxed geometry from the Alexandria database. Energies are from PBE-GGA.

a b c (Å): 5.4551 5.4576 8.7187
angles (deg): 108.20 90.00 119.98
Element x y z (fractional)
Pr: 0.9222 0.8444 0.2664
Pr: 0.0778 0.1556 0.7336
Er: 0.5000 0.0000 0.0000
Er: 0.6519 0.3039 0.4557
Er: 0.3481 0.6961 0.5443
In: 0.7820 0.5640 0.8462
In: 0.2180 0.4360 0.1538

Properties
ρ: 8.0 Mg/m³
calculated total energy: -0.160 Ha/atom
N(E_F): 7.1 states/eV/f.u.
magnetization: 0.0 Bohr magnetons per cell
energy of formation from the pure elements: -24.9 kJ/mol of atoms



Record 16
Here is crystalline Pr5ErIn4 at its relaxed geometry from the Alexandria database. Energies are from PBE-GGA.

a b c (Å): 3.6737 3.6737 22.6459
angles (deg): 90.00 90.00 90.00
Element x y z (fractional)
Pr: 0.5000 0.5000 0.1133
Pr: 0.5000 0.5000 0.3060
Pr: 0.5000 0.5000 0.5000
Pr: 0.5000 0.5000 0.6940
Pr: 0.5000 0.5000 0.8867
Er: 0.0000 0.0000 0.0000
In: 0.0000 0.0000 0.2088
In: 0.0000 0.0000 0.4030
In: 0.0000 0.0000 0.5970
In: 0.0000 0.0000 0.7912

Properties
ρ: 7.2 Mg/m³
calculated total energy: -0.158 Ha/atom
N(E_F): 11.1 states/eV/f.u.
magnetization: 0.0 Bohr magnetons per cell
polymorph energy (0 for the lowest one): 0.0000 eV/atom
energy of formation from the pure elements: -35.5 kJ/mol of atoms



Record 17
Here is crystalline Pr2Er8In at its relaxed geometry from the Alexandria database. Energies are from PBE-GGA.

a b c (Å): 4.9353 7.8440 9.3422
angles (deg): 104.63 105.32 90.00
Element x y z (fractional)
Pr: 0.7789 0.3653 0.5578
Pr: 0.2211 0.6347 0.4422
Er: 0.4119 0.5571 0.8237
Er: 0.6801 0.9087 0.3601
Er: 0.8673 0.8278 0.7347
Er: 0.9562 0.2757 0.9125
Er: 0.1327 0.1722 0.2653
Er: 0.3199 0.0913 0.6399
Er: 0.5881 0.4429 0.1763
Er: 0.0438 0.7243 0.0875
In: 0.5000 0.0000 0.0000

Properties
ρ: 8.6 Mg/m³
calculated total energy: -0.165 Ha/atom
N(E_F): 15.1 states/eV/f.u.
magnetization: 0.0 Bohr magnetons per cell
energy of formation from the pure elements: -5.3 kJ/mol of atoms



Record 18
Here is crystalline Pr6ErIn2 at its relaxed geometry from the Alexandria database. Energies are from PBE-GGA.

a b c (Å): 3.8560 6.8871 12.1293
angles (deg): 74.14 80.85 73.74
Element x y z (fractional)
Pr: 0.6773 0.5232 0.1223
Pr: 0.3227 0.4768 0.8777
Pr: 0.3066 0.7922 0.5947
Pr: 0.9775 0.7059 0.3391
Pr: 0.0225 0.2941 0.6609
Pr: 0.6934 0.2078 0.4053
Er: 0.0000 0.0000 0.0000
In: 0.3593 0.0921 0.1892
In: 0.6407 0.9079 0.8108

Properties
ρ: 7.0 Mg/m³
calculated total energy: -0.165 Ha/atom
N(E_F): 10.8 states/eV/f.u.
magnetization: 0.0 Bohr magnetons per cell
polymorph energy (0 for the lowest one): 0.0000 eV/atom
energy of formation from the pure elements: -19.0 kJ/mol of atoms



Record 19
Here is crystalline Pr12Er6In at its relaxed geometry from the Alexandria database. Energies are from PBE-GGA.

a b c (Å): 8.6773 8.6773 8.6773
angles (deg): 88.55 88.55 88.55
Element x y z (fractional)
Pr: 0.7874 0.5371 0.4313
Pr: 0.4313 0.7874 0.5371
Pr: 0.5371 0.4313 0.7874
Pr: 0.2126 0.4629 0.5687
Pr: 0.5687 0.2126 0.4629
Pr: 0.4629 0.5687 0.2126
Pr: 0.0177 0.1770 0.3652
Pr: 0.8230 0.6348 0.9823
Pr: 0.6348 0.9823 0.8230
Pr: 0.9823 0.8230 0.6348
Pr: 0.1770 0.3652 0.0177
Pr: 0.3652 0.0177 0.1770
Er: 0.7449 0.8986 0.2798
Er: 0.7202 0.2551 0.1014
Er: 0.1014 0.7202 0.2551
Er: 0.2551 0.1014 0.7202
Er: 0.2798 0.7449 0.8986
Er: 0.8986 0.2798 0.7449
In: 0.0000 0.0000 0.0000

Properties
ρ: 7.1 Mg/m³
calculated total energy: -0.167 Ha/atom
N(E_F): 30.9 states/eV/f.u.
magnetization: 0.0 Bohr magnetons per cell
polymorph energy (0 for the lowest one): 0.0000 eV/atom
energy of formation from the pure elements: 5.7 kJ/mol of atoms



Record 20
Here is crystalline Pr9Er2In at its relaxed geometry from the Alexandria database. Energies are from PBE-GGA.

a b c (Å): 5.1046 5.1046 15.5508
angles (deg): 90.00 90.00 90.00
Element x y z (fractional)
Pr: 0.5000 0.5000 0.0000
Pr: 0.5000 0.5000 0.3314
Pr: 0.5000 0.5000 0.6686
Pr: 0.5000 0.0000 0.1619
Pr: 0.5000 0.0000 0.5000
Pr: 0.5000 0.0000 0.8381
Pr: 0.0000 0.5000 0.1619
Pr: 0.0000 0.5000 0.5000
Pr: 0.0000 0.5000 0.8381
Er: 0.0000 0.0000 0.3320
Er: 0.0000 0.0000 0.6680
In: 0.0000 0.0000 0.0000

Properties
ρ: 7.0 Mg/m³
calculated total energy: -0.171 Ha/atom
N(E_F): 14.5 states/eV/f.u.
magnetization: 0.0 Bohr magnetons per cell
energy of formation from the pure elements: -7.1 kJ/mol of atoms